[1]
The following is a DFT calculation (PBE) of a geometry-optimized LaY2Pd2 structure.

a = 6.4218 Å, b = 6.4218 Å, c = 6.4218 Å
α = 132.04°, β = 132.04°, γ = 70.16°
Fractional coordinates of all 5 atoms:
La1 0.0000 0.0000 0.0000
Y1 0.3387 0.3387 0.0000
Y2 0.6613 0.6613 0.0000
Pd1 0.2500 0.7500 0.5000
Pd2 0.7500 0.2500 0.5000

Properties
theoretical density: 6.142 g cm⁻³
energy of formation from the pure elements: -1.902 eV/f.u.
energy above the lowest structure with this stoichiometry: 0.280 eV/atom
electronic total energy: -6.029 eV per atom
density of states at the Fermi level: 7.12 states/eV/cell

[2]
The following is a DFT calculation (PBE) of a geometry-optimized LaY2Pd2 structure.

a = 5.3171 Å, b = 4.8510 Å, c = 10.5895 Å
α = 90.00°, β = 95.83°, γ = 90.00°
Fractional coordinates of all 10 atoms:
La1 0.1887 0.2500 0.2285
La2 0.8113 0.7500 0.7715
Y1 0.2493 0.7500 0.4975
Y2 0.3332 0.2500 0.8895
Y3 0.6668 0.7500 0.1105
Y4 0.7507 0.2500 0.5025
Pd1 0.1559 0.7500 0.0166
Pd2 0.2741 0.2500 0.6249
Pd3 0.7259 0.7500 0.3751
Pd4 0.8441 0.2500 0.9834

Properties
theoretical density: 6.472 g cm⁻³
energy of formation from the pure elements: -3.241 eV/f.u.
energy above the lowest structure with this stoichiometry: 0.012 eV/atom
electronic total energy: -6.296 eV per atom
density of states at the Fermi level: 10.35 states/eV/cell

[3]
The following is a DFT calculation (PBE) of a geometry-optimized LaY2Pd structure.

a = 6.9306 Å, b = 6.9306 Å, c = 6.9306 Å
α = 102.71°, β = 102.71°, γ = 124.05°
Fractional coordinates of all 8 atoms:
La1 0.0000 0.0000 0.0000
La2 0.7500 0.2500 0.5000
Y1 0.1959 0.6250 0.0709
Y2 0.3750 0.4459 0.5709
Y3 0.5541 0.1250 0.9291
Y4 0.8750 0.8041 0.4291
Pd1 0.2500 0.7500 0.5000
Pd2 0.5000 0.5000 0.0000

Properties
theoretical density: 5.769 g cm⁻³
energy of formation from the pure elements: -0.963 eV/f.u.
energy above the lowest structure with this stoichiometry: 0.211 eV/atom
electronic total energy: -6.003 eV per atom
density of states at the Fermi level: 13.69 states/eV/cell

[4]
The following is a DFT calculation (PBE) of a geometry-optimized LaY2Pd structure.

a = 10.0616 Å, b = 10.0616 Å, c = 10.0616 Å
α = 21.66°, β = 21.66°, γ = 21.66°
Fractional coordinates of all 4 atoms:
La1 0.0000 0.0000 0.0000
Y1 0.2292 0.2292 0.2292
Y2 0.7708 0.7708 0.7708
Pd1 0.5000 0.5000 0.5000

Properties
theoretical density: 5.778 g cm⁻³
energy of formation from the pure elements: -1.165 eV/f.u.
energy above the lowest structure with this stoichiometry: 0.160 eV/atom
electronic total energy: -6.053 eV per atom
density of states at the Fermi level: 5.45 states/eV/cell

[5]
The following is a DFT calculation (PBE) of a geometry-optimized LaYPd3 structure.

a = 5.1749 Å, b = 5.1749 Å, c = 5.1749 Å
α = 90.00°, β = 90.00°, γ = 90.00°
Fractional coordinates of all 5 atoms:
La1 0.0000 0.0000 0.0000
Y1 0.5000 0.5000 0.5000
Pd1 0.0000 0.0000 0.5000
Pd2 0.0000 0.5000 0.0000
Pd3 0.5000 0.0000 0.0000

Properties
theoretical density: 6.555 g cm⁻³
energy of formation from the pure elements: 0.474 eV/f.u.
energy above the lowest structure with this stoichiometry: 0.921 eV/atom
electronic total energy: -5.299 eV per atom
density of states at the Fermi level: 3.41 states/eV/cell

[6]
The following is a DFT calculation (PBE) of a geometry-optimized LaY2Pd structure.

a = 6.6001 Å, b = 6.6001 Å, c = 9.6046 Å
α = 90.00°, β = 90.00°, γ = 146.45°
Fractional coordinates of all 8 atoms:
La1 0.0660 0.9340 0.7500
La2 0.9340 0.0660 0.2500
Y1 0.3622 0.6378 0.5625
Y2 0.3622 0.6378 0.9375
Y3 0.6378 0.3622 0.0625
Y4 0.6378 0.3622 0.4375
Pd1 0.2387 0.7613 0.2500
Pd2 0.7613 0.2387 0.7500

Properties
theoretical density: 6.078 g cm⁻³
energy of formation from the pure elements: -1.713 eV/f.u.
energy above the lowest structure with this stoichiometry: 0.023 eV/atom
electronic total energy: -6.190 eV per atom
density of states at the Fermi level: 11.30 states/eV/cell

[7]
The following is a DFT calculation (PBE) of a geometry-optimized LaY2Pd2 structure.

a = 7.9874 Å, b = 7.9874 Å, c = 3.9523 Å
α = 90.00°, β = 90.00°, γ = 90.00°
Fractional coordinates of all 10 atoms:
La1 0.0000 0.0000 0.0000
La2 0.5000 0.5000 0.0000
Y1 0.1601 0.3399 0.5000
Y2 0.3399 0.8399 0.5000
Y3 0.6601 0.1601 0.5000
Y4 0.8399 0.6601 0.5000
Pd1 0.1299 0.6299 0.0000
Pd2 0.3701 0.1299 0.0000
Pd3 0.6299 0.8701 0.0000
Pd4 0.8701 0.3701 0.0000

Properties
theoretical density: 6.975 g cm⁻³
energy of formation from the pure elements: -3.302 eV/f.u.
energy above the lowest structure with this stoichiometry: 0.000 eV/atom
electronic total energy: -6.309 eV per atom
density of states at the Fermi level: 14.00 states/eV/cell

[8]
The following is a DFT calculation (PBE) of a geometry-optimized LaYPd3 structure.

a = 13.8031 Å, b = 13.8031 Å, c = 4.3481 Å
α = 90.00°, β = 90.00°, γ = 163.92°
Fractional coordinates of all 10 atoms:
La1 0.0733 0.9267 0.7500
La2 0.9267 0.0733 0.2500
Y1 0.2062 0.7938 0.2500
Y2 0.7938 0.2062 0.7500
Pd1 0.3130 0.6870 0.2500
Pd2 0.3743 0.6257 0.7500
Pd3 0.4714 0.5286 0.7500
Pd4 0.5286 0.4714 0.2500
Pd5 0.6257 0.3743 0.2500
Pd6 0.6870 0.3130 0.7500

Properties
theoretical density: 7.920 g cm⁻³
energy of formation from the pure elements: -4.133 eV/f.u.
energy above the lowest structure with this stoichiometry: 0.000 eV/atom
electronic total energy: -6.221 eV per atom
density of states at the Fermi level: 6.80 states/eV/cell